1.
Below is a geometry-optimized CeDyErIn structure, with properties calculated at the PBE level.

Cell and atoms, written as POSCAR:
```
CeDyErIn
1.0
7.606 0.000 0.000
0.000 7.606 0.000
0.000 0.000 7.606
Ce Dy Er In
4 4 4 4
Cartesian
0.000 0.000 0.000
0.000 3.803 3.803
3.803 0.000 3.803
3.803 3.803 0.000
1.902 1.902 1.902
1.902 5.705 5.705
5.705 1.902 5.705
5.705 5.705 1.902
1.902 1.902 5.705
1.902 5.705 1.902
5.705 1.902 1.902
5.705 5.705 5.705
0.000 0.000 3.803
0.000 3.803 0.000
3.803 0.000 0.000
3.803 3.803 3.803
```

## Properties
The total DFT energy (no corrections) is -0.1664 Ha/atom. Its density of states at the Fermi level is 23.51 states/eV/cell.


2.
Below is a geometry-optimized CeDy2ErIn4 structure, with properties calculated at the PBE level.

Cell and atoms, written as POSCAR:
```
CeDy2ErIn4
1.0
2.668 1.541 8.781
-2.668 1.541 8.781
0.000 -3.081 8.781
Ce Dy Er In
1 2 1 4
Cartesian
0.000 0.000 0.000
0.000 0.000 6.567
0.000 0.000 19.774
0.000 0.000 13.171
0.000 0.000 3.333
0.000 0.000 9.924
0.000 0.000 16.417
0.000 0.000 23.009
```

## Properties
The total DFT energy (no corrections) is -0.1563 Ha/atom. Its density of states at the Fermi level is 9.35 states/eV/cell.


3.
Below is a geometry-optimized LaCe2Dy6Er3 structure, with properties calculated at the PBE level.

Cell and atoms, written as POSCAR:
```
LaCe2Dy6Er3
1.0
2.794 -8.374 0.000
2.794 8.374 0.000
-0.018 0.000 8.161
La Ce Dy Er
1 2 6 3
Cartesian
0.000 0.000 0.000
2.794 2.956 0.000
2.794 -2.956 0.000
2.786 5.363 2.300
2.784 5.363 5.861
2.772 0.000 6.437
2.797 0.000 1.725
2.786 -5.363 2.300
2.784 -5.363 5.861
-0.009 0.000 4.081
2.785 2.303 4.081
2.785 -2.303 4.081
```

## Properties
The total DFT energy (no corrections) is -0.1731 Ha/atom. Its density of states at the Fermi level is 25.58 states/eV/cell.


4.
Below is a geometry-optimized CeDyErLu structure, with properties calculated at the PBE level.

Cell and atoms, written as POSCAR:
```
CeDyErLu
1.0
7.921 0.000 0.000
0.000 7.921 0.000
0.000 0.000 7.921
Ce Dy Er Lu
4 4 4 4
Cartesian
0.000 0.000 0.000
0.000 3.961 3.961
3.961 0.000 3.961
3.961 3.961 0.000
1.980 1.980 1.980
1.980 5.941 5.941
5.941 1.980 5.941
5.941 5.941 1.980
0.000 0.000 3.961
0.000 3.961 0.000
3.961 0.000 0.000
3.961 3.961 3.961
1.980 1.980 5.941
1.980 5.941 1.980
5.941 1.980 1.980
5.941 5.941 5.941
```

## Properties
The total DFT energy (no corrections) is -0.1744 Ha/atom. Its density of states at the Fermi level is 37.19 states/eV/cell.


5.
Below is a geometry-optimized Ce2DyErN4 structure, with properties calculated at the PBE level.

Cell and atoms, written as POSCAR:
```
Ce2DyErN4
1.0
6.075 0.000 0.000
0.000 3.508 0.000
-2.025 0.000 5.738
Ce Dy Er N
2 1 1 4
Cartesian
0.000 0.000 0.000
3.038 1.754 0.000
-1.012 1.754 2.869
2.025 0.000 2.869
0.011 0.000 4.286
1.024 1.754 1.460
3.026 1.754 4.278
4.039 0.000 1.452
```

## Properties
The value obtained for the formation energy (no corrections) is -1.6084 eV/atom. Its density of states at the Fermi level is 4.51 states/eV/cell.


6.
Below is a geometry-optimized CeDyErN3 structure, with properties calculated at the PBE level.

Cell and atoms, written as POSCAR:
```
CeDyErN3
1.0
5.989 0.000 0.000
0.000 3.451 0.000
-1.842 0.000 8.863
Ce Dy Er N
2 2 2 6
Cartesian
0.572 0.863 1.739
3.575 2.589 7.125
0.538 0.863 7.628
3.610 2.589 1.235
0.617 2.589 4.827
3.531 0.863 4.036
-1.004 0.863 5.923
1.447 2.589 0.009
2.134 2.589 3.073
2.013 0.863 5.790
2.700 0.863 8.854
5.151 2.589 2.940
```

## Properties
The value obtained for the formation energy (no corrections) is -1.4304 eV/atom. Its density of states at the Fermi level is 7.68 states/eV/cell.


7.
Below is a geometry-optimized Ce3DyEr2N6 structure, with properties calculated at the PBE level.

Cell and atoms, written as POSCAR:
```
Ce3DyEr2N6
1.0
3.034 -5.255 0.000
3.034 5.255 0.000
-2.024 0.000 5.734
Ce Dy Er N
3 1 2 6
Cartesian
0.000 0.000 0.000
3.034 1.752 0.000
3.034 -1.752 0.000
2.023 0.000 2.867
2.023 3.503 2.867
2.023 -3.503 2.867
1.004 1.765 1.459
-0.016 0.000 4.273
1.004 -1.765 1.459
3.042 1.765 4.275
4.061 0.000 1.462
3.042 -1.765 4.275
```

## Properties
The value obtained for the formation energy (no corrections) is -1.6123 eV/atom. Its density of states at the Fermi level is 7.11 states/eV/cell.


8.
Below is a geometry-optimized Ce2Nd3Dy6Er structure, with properties calculated at the PBE level.

Cell and atoms, written as POSCAR:
```
Ce2Nd3Dy6Er
1.0
3.093 -5.357 0.000
3.093 5.357 0.000
-2.059 0.000 11.603
Ce Nd Dy Er
2 3 6 1
Cartesian
3.093 3.574 0.000
3.093 -3.574 0.000
-1.029 0.000 5.802
2.064 1.779 5.802
2.064 -1.779 5.802
-0.005 1.796 8.757
1.020 0.000 2.848
-0.005 -1.796 8.757
4.133 1.796 2.846
3.107 0.000 8.755
4.133 -1.796 2.846
3.093 0.000 0.000
```

## Properties
The total DFT energy (no corrections) is -0.1770 Ha/atom. Its density of states at the Fermi level is 20.52 states/eV/cell.


9.
Below is a geometry-optimized CeNdDy2Er structure, with properties calculated at the PBE level.

Cell and atoms, written as POSCAR:
```
CeNdDy2Er
1.0
5.870 0.000 0.000
0.000 7.766 0.000
0.000 0.000 7.193
Ce Nd Dy Er
2 2 4 2
Cartesian
0.000 0.000 0.000
2.935 0.000 0.000
1.468 3.883 1.174
4.403 3.883 6.019
1.468 2.256 4.880
1.468 5.510 4.880
4.403 2.256 2.312
4.403 5.510 2.312
1.468 0.000 2.789
4.403 0.000 4.404
```

## Properties
The total DFT energy (no corrections) is -0.1694 Ha/atom. Its density of states at the Fermi level is 19.56 states/eV/cell.


10.
Below is a geometry-optimized CeNdDy4Er2 structure, with properties calculated at the PBE level.

Cell and atoms, written as POSCAR:
```
CeNdDy4Er2
1.0
5.020 0.000 0.000
0.000 5.034 0.000
0.000 0.000 10.015
Ce Nd Dy Er
1 1 4 2
Cartesian
0.000 0.000 0.000
2.510 2.517 5.008
0.000 2.517 2.467
0.000 2.517 7.548
2.510 0.000 2.473
2.510 0.000 7.543
0.000 0.000 5.008
2.510 2.517 0.000
```

## Properties
The total DFT energy (no corrections) is -0.1739 Ha/atom. Its density of states at the Fermi level is 13.67 states/eV/cell.


11.
Below is a geometry-optimized CeNd6Dy2Er structure, with properties calculated at the PBE level.

Cell and atoms, written as POSCAR:
```
CeNd6Dy2Er
1.0
5.660 -3.537 0.000
5.660 3.537 0.000
-2.108 0.000 8.602
Ce Nd Dy Er
1 6 2 1
Cartesian
0.000 0.000 0.000
3.278 1.651 1.751
0.540 0.000 3.592
5.934 1.651 6.851
3.278 -1.651 1.751
8.672 0.000 5.010
5.934 -1.651 6.851
2.870 0.000 7.180
6.342 0.000 1.422
4.606 0.000 4.301
```

## Properties
The total DFT energy (no corrections) is -0.1688 Ha/atom. Its density of states at the Fermi level is 21.89 states/eV/cell.


12.
Below is a geometry-optimized Ce2NdDy3Er6 structure, with properties calculated at the PBE level.

Cell and atoms, written as POSCAR:
```
Ce2NdDy3Er6
1.0
-2.507 4.961 7.533
2.507 -4.961 7.533
2.507 4.961 -7.533
Ce Nd Dy Er
2 1 3 6
Cartesian
0.000 0.000 2.508
0.000 0.000 12.557
0.000 0.000 7.533
2.507 0.000 0.000
2.507 0.000 5.006
0.000 4.961 2.527
2.507 2.463 -2.530
0.000 2.447 0.000
2.507 2.463 2.530
0.000 2.498 5.002
0.000 7.475 0.000
0.000 2.498 10.063
```

## Properties
The total DFT energy (no corrections) is -0.1749 Ha/atom. Its density of states at the Fermi level is 22.22 states/eV/cell.


Number 1: magnetization 0.1 μB per formula unit. Number 2: magnetization 0.9 μB per formula unit. Number 3: magnetization 1.5 μB per formula unit. Number 4: magnetization 1.0 μB per formula unit. Number 5: magnetization 0.5 μB per formula unit. Number 6: magnetization 0.8 μB per formula unit. Number 7: magnetization 0.9 μB per formula unit. Number 8: magnetization 1.9 μB per formula unit. Number 9: magnetization 1.6 μB per formula unit. Number 10: magnetization 1.0 μB per formula unit. Number 11: magnetization 1.1 μB per formula unit. Number 12: magnetization 2.2 μB per formula unit.